[1]
Density functional theory data (PBE-GGA) for a relaxed Mg3Zr crystal.

raw total energy = -3.229 eV/atom
space group = Fm-3m, No. 225

Cell lengths 4.984, 4.984, 4.984 Å; angles 120.00, 120.00, 90.00 degrees
Sites, in units of the cell vectors:
Mg 0.750 0.250 0.500
Mg 0.250 0.750 0.500
Mg 0.500 0.500 0.000
Zr 0.000 0.000 0.000


[2]
Density functional theory data (PBE-GGA) for a relaxed MnBe3Si crystal.

energy relative to the lowest polymorph listed for this composition = 0.0 kJ per mole of atoms
raw total energy = -5.098 eV/atom
E_form (uncorrected) = 57 meV/atom
space group = Cmcm, No. 63

Cell lengths 3.590, 7.327, 4.323 Å; angles 90.00, 65.51, 90.00 degrees
Site moments in Bohr magnetons follow the coordinates.
Sites, in units of the cell vectors:
Mn 0.323 0.750 0.354  1.00
Mn 0.677 0.250 0.646  1.00
Be 0.838 0.991 0.324  -0.02
Be 0.162 0.009 0.676  -0.02
Be 0.162 0.491 0.676  -0.02
Be 0.838 0.509 0.324  -0.02
Be 0.998 0.750 0.004  -0.01
Be 0.002 0.250 0.996  -0.01
Si 0.635 0.750 0.730  -0.02
Si 0.365 0.250 0.270  -0.02


[3]
Density functional theory data (PBE-GGA) for a relaxed Na4Al3Si3CNO13 crystal.

raw total energy = -7.062 eV/atom
E_form (uncorrected) = -2471 meV/atom
space group = Ccc2, No. 37

Cell lengths 8.959, 8.959, 9.270 Å; angles 90.00, 90.00, 90.04 degrees
Site moments in Bohr magnetons follow the coordinates.
Sites, in units of the cell vectors:
Na 0.691 0.809 0.797  0.00
Na 0.309 0.191 0.797  0.00
Na 0.815 0.315 0.701  0.00
Na 0.185 0.685 0.701  0.00
Na 0.809 0.691 0.297  0.00
Na 0.191 0.309 0.297  0.00
Na 0.685 0.185 0.201  0.00
Na 0.315 0.815 0.201  0.00
Al 0.001 0.752 0.001  0.00
Al 0.500 0.500 0.752  0.00
Al 0.248 0.999 0.501  0.00
Al 0.752 0.001 0.501  0.00
Al 0.500 0.500 0.252  0.00
Al 0.999 0.248 0.001  0.00
Si 0.748 0.499 0.002  0.00
Si 0.000 0.000 0.752  0.00
Si 0.501 0.252 0.502  0.00
Si 0.499 0.748 0.502  0.00
Si 0.000 0.000 0.252  0.00
Si 0.252 0.501 0.002  0.00
C 0.500 0.000 0.992  0.00
C 0.000 0.500 0.492  0.00
N 0.000 0.500 0.621  0.06
N 0.500 0.000 0.121  0.06
O 0.844 0.354 0.949  0.00
O 0.156 0.646 0.949  0.00
O 0.649 0.557 0.863  0.00
O 0.351 0.443 0.863  0.00
O 0.500 0.000 0.859  0.04
O 0.944 0.859 0.852  0.00
O 0.056 0.141 0.852  0.00
O 0.859 0.055 0.652  0.00
O 0.141 0.945 0.652  0.00
O 0.555 0.351 0.642  0.00
O 0.445 0.649 0.642  0.00
O 0.642 0.848 0.554  0.00
O 0.358 0.152 0.554  0.00
O 0.646 0.156 0.449  0.00
O 0.354 0.844 0.449  0.00
O 0.557 0.649 0.363  0.00
O 0.443 0.351 0.363  0.00
O 0.000 0.500 0.359  0.04
O 0.859 0.944 0.352  0.00
O 0.141 0.056 0.352  0.00
O 0.055 0.859 0.152  0.00
O 0.945 0.141 0.152  0.00
O 0.649 0.445 0.142  0.00
O 0.351 0.555 0.142  0.00
O 0.848 0.642 0.054  0.00
O 0.152 0.358 0.054  0.00


[4]
Density functional theory data (PBE-GGA) for a relaxed Al2NiIr crystal.

raw total energy = -5.918 eV/atom
space group = F-43m, No. 216

Cell lengths 4.243, 4.243, 4.243 Å; angles 60.00, 60.00, 60.00 degrees
Sites, in units of the cell vectors:
Ni 0.250 0.250 0.250
Ir 0.500 0.500 0.500
Al 0.000 0.000 0.000
Al 0.750 0.750 0.750


[5]
Density functional theory data (PBE-GGA) for a relaxed HfMgMn3 crystal.

energy relative to the lowest polymorph listed for this composition = 0.0 kJ per mole of atoms
raw total energy = -6.636 eV/atom
space group = Pm-3m, No. 221

Cell lengths 4.783, 4.783, 4.783 Å; angles 90.00, 90.00, 90.00 degrees
Site moments in Bohr magnetons follow the coordinates.
Sites, in units of the cell vectors:
Mg 0.500 0.500 0.500  -0.03
Mn 0.000 0.500 0.000  3.14
Mn 0.000 0.000 0.500  2.85
Mn 0.500 0.000 0.000  3.50
Hf 0.000 0.000 0.000  -0.65


[6]
Density functional theory data (PBE-GGA) for a relaxed TiNbIn2 crystal.

energy relative to the lowest polymorph listed for this composition = 20.9 kJ per mole of atoms
raw total energy = -5.711 eV/atom
space group = Fm-3m, No. 225

Cell lengths 4.798, 4.798, 4.798 Å; angles 60.00, 60.00, 60.00 degrees
Sites, in units of the cell vectors:
Nb 0.500 0.500 0.500
Ti 0.000 0.000 0.000
In 0.250 0.250 0.250
In 0.750 0.750 0.750


[7]
Density functional theory data (PBE-GGA) for a relaxed Tl2RuS crystal.

energy relative to the lowest polymorph listed for this composition = 5.3 kJ per mole of atoms
raw total energy = -3.739 eV/atom
E_form (uncorrected) = 795 meV/atom
space group = Fm-3m, No. 225

Cell lengths 4.944, 4.944, 4.944 Å; angles 60.00, 60.00, 60.00 degrees
Site moments in Bohr magnetons follow the coordinates.
Sites, in units of the cell vectors:
Ru 0.500 0.500 0.500  1.20
Tl 0.250 0.250 0.250  0.02
Tl 0.750 0.750 0.750  0.02
S 0.000 0.000 0.000  0.17


[8]
Density functional theory data (PBE-GGA) for a relaxed VCo2Pd crystal.

energy relative to the lowest polymorph listed for this composition = 49.3 kJ per mole of atoms
raw total energy = -6.732 eV/atom
space group = I-42d, No. 122

Cell lengths 3.590, 3.590, 8.958 Å; angles 78.44, 78.44, 90.00 degrees
Site moments in Bohr magnetons follow the coordinates.
Sites, in units of the cell vectors:
Co 0.615 0.125 0.250  1.34
Co 0.135 0.625 0.250  1.34
Co 0.375 0.385 0.750  1.34
Co 0.875 0.865 0.750  1.34
Pd 0.000 0.000 0.000  0.03
Pd 0.750 0.250 0.500  0.03
V 0.500 0.500 0.000  -1.53
V 0.250 0.750 0.500  -1.53


[9]
Density functional theory data (PBE-GGA) for a relaxed CsTlB2Br8 crystal.

raw total energy = -3.291 eV/atom
E_form (uncorrected) = -795 meV/atom
space group = P-3, No. 147

Cell lengths 6.796, 6.796, 10.764 Å; angles 90.00, 90.00, 120.00 degrees
Sites, in units of the cell vectors:
Cs 0.000 0.000 0.000
Tl 0.000 0.000 0.500
B 0.667 0.333 0.237
B 0.333 0.667 0.763
Br 0.333 0.667 0.952
Br 0.402 0.369 0.298
Br 0.631 0.033 0.298
Br 0.667 0.333 0.048
Br 0.369 0.967 0.702
Br 0.598 0.631 0.702
Br 0.033 0.402 0.702
Br 0.967 0.598 0.298


Q: Look up the raw total energy of the second one.
A: -5.098 eV/atom


Q: What is the raw total energy in the eighth record?
A: -6.732 eV/atom


Q: Which value of raw total energy does entry 2 give?
A: -5.098 eV/atom


Q: Among the records above, which one has the lowest raw total energy?
A: Na4Al3Si3CNO13